[1]
A plane-wave DFT calculation with PBE was carried out for a relaxed structure of YBW.

Lattice parameters (Å, degrees): 6.8158 3.4376 8.3978 90.00 90.00 90.00
Closest atoms and distances in Å follow each position.
Sites, in units of the cell vectors:
1 Y 0.0265 0.2500 0.1734  4 B 2.72-2.78
2 Y 0.4735 0.7500 0.6734  4 B 2.72-2.78
3 Y 0.5265 0.2500 0.3266  4 B 2.72-2.78
4 Y 0.9735 0.7500 0.8266  4 B 2.72-2.78
5 B 0.2114 0.7500 0.3753  3 W 2.29-2.45
6 B 0.2886 0.2500 0.8753  3 W 2.29-2.45
7 B 0.7114 0.7500 0.1247  3 W 2.29-2.45
8 B 0.7886 0.2500 0.6247  3 W 2.29-2.45
9 W 0.1350 0.2500 0.5454  3 B 2.29-2.45
10 W 0.3650 0.7500 0.0454  3 B 2.29-2.45
11 W 0.6350 0.2500 0.9546  3 B 2.29-2.45
12 W 0.8650 0.7500 0.4546  3 B 2.29-2.45

## Properties
As for the space group: Pnma. For the energy relative to the lowest polymorph listed for this composition, the calculation gives 0 meV per atom.

---

[2]
A plane-wave DFT calculation with PBE was carried out for a relaxed structure of YBW.

Lattice parameters (Å, degrees): 6.3678 6.3678 6.3678 90.00 90.00 90.00
Closest atoms and distances in Å follow each position.
Sites, in units of the cell vectors:
1 Y 0.0000 0.0000 0.0000  4 W 2.76, 4 B 2.76
2 Y 0.0000 0.5000 0.5000  4 W 2.76, 4 B 2.76
3 Y 0.5000 0.0000 0.5000  4 W 2.76, 4 B 2.76
4 Y 0.5000 0.5000 0.0000  4 W 2.76, 4 B 2.76
5 B 0.2500 0.2500 0.7500  4 Y 2.76
6 B 0.2500 0.7500 0.2500  4 Y 2.76
7 B 0.7500 0.2500 0.2500  4 Y 2.76
8 B 0.7500 0.7500 0.7500  4 Y 2.76
9 W 0.2500 0.2500 0.2500  4 Y 2.76
10 W 0.2500 0.7500 0.7500  4 Y 2.76
11 W 0.7500 0.2500 0.7500  4 Y 2.76
12 W 0.7500 0.7500 0.2500  4 Y 2.76

## Properties
As for the space group: F-43m. For the energy relative to the lowest polymorph listed for this composition, the calculation gives 2240 meV per atom.

---

[3]
A plane-wave DFT calculation with PBE was carried out for a relaxed structure of ZnB2W2.

Lattice parameters (Å, degrees): 3.0996 11.5021 3.1538 90.00 90.00 90.00
Closest atoms and distances in Å follow each position.
Sites, in units of the cell vectors:
1 Zn 0.0000 0.0000 0.0000  2 B 2.38
2 Zn 0.5000 0.5000 0.0000  2 B 2.38
3 B 0.0000 0.2070 0.0000  2 B 1.84
4 B 0.0000 0.7930 0.0000  2 B 1.84
5 B 0.5000 0.2930 0.0000  2 B 1.84
6 B 0.5000 0.7070 0.0000  2 B 1.84
7 W 0.0000 0.3560 0.5000  6 B 2.33
8 W 0.0000 0.6440 0.5000  6 B 2.33
9 W 0.5000 0.1440 0.5000  6 B 2.33
10 W 0.5000 0.8560 0.5000  6 B 2.33

## Properties
As for the space group: Cmmm. The final energy comes out at -8.21 eV per atom.

---

[4]
A plane-wave DFT calculation with PBE was carried out for a relaxed structure of ZnBW.

Lattice parameters (Å, degrees): 5.6065 5.6065 5.6065 90.00 90.00 90.00
Closest atoms and distances in Å follow each position.
Sites, in units of the cell vectors:
1 Zn 0.0000 0.0000 0.0000  4 W 2.43
2 Zn 0.0000 0.5000 0.5000  4 W 2.43
3 Zn 0.5000 0.0000 0.5000  4 W 2.43
4 Zn 0.5000 0.5000 0.0000  4 W 2.43
5 B 0.0000 0.0000 0.5000  4 W 2.43
6 B 0.0000 0.5000 0.0000  4 W 2.43
7 B 0.5000 0.0000 0.0000  4 W 2.43
8 B 0.5000 0.5000 0.5000  4 W 2.43
9 W 0.2500 0.2500 0.7500  4 B 2.43, 4 Zn 2.43
10 W 0.2500 0.7500 0.2500  4 B 2.43, 4 Zn 2.43
11 W 0.7500 0.2500 0.2500  4 B 2.43, 4 Zn 2.43
12 W 0.7500 0.7500 0.7500  4 B 2.43, 4 Zn 2.43

## Properties
As for the space group: F-43m. The final energy comes out at -5.66 eV per atom.

---

Copy entry 1 word for word.
A plane-wave DFT calculation with PBE was carried out for a relaxed structure of YBW.

Lattice parameters (Å, degrees): 6.8158 3.4376 8.3978 90.00 90.00 90.00
Closest atoms and distances in Å follow each position.
Sites, in units of the cell vectors:
1 Y 0.0265 0.2500 0.1734  4 B 2.72-2.78
2 Y 0.4735 0.7500 0.6734  4 B 2.72-2.78
3 Y 0.5265 0.2500 0.3266  4 B 2.72-2.78
4 Y 0.9735 0.7500 0.8266  4 B 2.72-2.78
5 B 0.2114 0.7500 0.3753  3 W 2.29-2.45
6 B 0.2886 0.2500 0.8753  3 W 2.29-2.45
7 B 0.7114 0.7500 0.1247  3 W 2.29-2.45
8 B 0.7886 0.2500 0.6247  3 W 2.29-2.45
9 W 0.1350 0.2500 0.5454  3 B 2.29-2.45
10 W 0.3650 0.7500 0.0454  3 B 2.29-2.45
11 W 0.6350 0.2500 0.9546  3 B 2.29-2.45
12 W 0.8650 0.7500 0.4546  3 B 2.29-2.45

## Properties
As for the space group: Pnma. For the energy relative to the lowest polymorph listed for this composition, the calculation gives 0 meV per atom.